18
Lattice="6.443 -6.461 0.000 6.443 6.461 0.000 -0.143 0.000 6.455" Properties=species:S:1:pos:R:3 comment="PBE-GGA Sn4Hg2Bi3, optimized geometry" energy_ev_per_atom=-3.0793 dos_ef_per_ev_fu=3.16 delta_e_f_ev_per_atom=0.060 sg="C2/c, No. 15" pbc="T T T"
Sn 4.432 2.309 1.297
Sn 6.350 4.289 3.276
Sn 6.320 4.289 6.407
Sn 8.382 2.309 1.931
Sn 4.360 -2.309 4.524
Sn 6.422 -4.289 0.049
Sn 6.392 -4.289 3.179
Sn 8.310 -2.309 5.159
Hg 4.177 2.340 4.527
Hg 8.493 2.340 5.156
Hg 4.249 -2.340 1.299
Hg 8.565 -2.340 1.928
Bi 2.262 0.081 0.337
Bi 2.190 -0.081 3.565
Bi 6.335 0.038 4.842
Bi 6.407 -0.038 1.614
Bi 10.552 0.081 2.890
Bi 10.480 -0.081 6.118

---

4
Lattice="4.322 0.000 0.000 0.000 4.322 0.000 0.000 0.000 3.107" Properties=species:S:1:pos:R:3 comment="PBE-GGA Cr2SbP, optimized geometry" energy_ev_per_atom=-6.9077 formation_energy_uncorrected_ev_per_atom=0.29 dos_ef_per_ev_fu=1.86 sg="P4/mmm, No. 123" pbc="T T T"
Cr 0.000 2.161 0.000
Cr 2.161 0.000 0.000
Sb 0.000 0.000 1.553
P 2.161 2.161 1.553

---

14
Lattice="-4.611 4.611 4.612 4.611 -4.611 4.612 4.611 4.611 -4.612" Properties=species:S:1:pos:R:3 comment="PBE-GGA Nd8CdGe5, optimized geometry" energy_ev_per_atom=-5.1245 dos_ef_per_ev_fu=10.61 delta_e_f_ev_per_atom=-0.686 sg="I-4, No. 82" pbc="T T T"
Nd 5.273 -2.872 2.912
Nd 1.739 -0.662 1.700
Nd 3.994 1.580 -0.540
Nd 7.483 0.662 1.700
Nd 3.031 -0.617 5.152
Nd 1.580 5.228 0.540
Nd 3.949 2.872 2.912
Nd 0.617 3.031 4.072
Cd 0.000 0.000 4.612
Ge 4.611 0.000 2.306
Ge 1.186 2.288 1.191
Ge -2.323 3.425 3.421
Ge -1.186 6.935 1.191
Ge 2.323 5.797 3.421

---

5
Lattice="4.190 0.000 0.000 0.000 4.190 0.000 0.000 0.000 4.685" Properties=species:S:1:pos:R:3 comment="PBE-GGA TaTiNbCo2, optimized geometry" energy_ev_per_atom=-7.8686 dos_ef_per_ev_fu=4.26 delta_e_f_ev_per_atom=0.937 sg="P4/mmm, No. 123" pbc="T T T"
Ta 0.000 0.000 0.000
Ti 2.095 2.095 2.343
Nb 2.095 2.095 0.000
Co 0.000 2.095 2.343
Co 2.095 0.000 2.343

---

10
Lattice="4.276 0.000 0.000 0.000 4.276 0.000 0.000 0.000 10.453" Properties=species:S:1:pos:R:3 comment="PBE-GGA Pm2TiNi4Sb3, optimized geometry" energy_ev_per_atom=-5.9288 formation_energy_uncorrected_ev_per_atom=-0.64 dos_ef_per_ev_fu=7.81 sg="P-4m2, No. 115" pbc="T T T"
Pm 0.000 2.138 2.532
Pm 2.138 0.000 7.922
Ti 0.000 0.000 5.227
Ni 0.000 0.000 0.000
Ni 0.000 2.138 6.568
Ni 2.138 0.000 3.885
Ni 2.138 2.138 0.000
Sb 0.000 2.138 9.069
Sb 2.138 0.000 1.384
Sb 2.138 2.138 5.227

---

19
Lattice="9.108 -5.911 0.000 9.108 5.911 0.000 -1.219 0.000 6.250" Properties=species:S:1:pos:R:3 comment="PBE-GGA Ac2Nd12Dy5, optimized geometry" energy_ev_per_atom=-4.5436 dos_ef_per_ev_fu=26.64 polymorph_energy_mev_per_atom=0 delta_e_f_ev_per_atom=0.111 sg="C2/m, No. 12" pbc="T T T"
Ac 9.108 3.382 0.000
Ac 9.108 -3.382 0.000
Nd 4.387 2.858 4.896
Nd 1.048 0.000 2.288
Nd 6.762 2.787 2.435
Nd 10.234 2.787 3.815
Nd 5.979 0.000 6.117
Nd 12.610 2.858 1.354
Nd 4.387 -2.858 4.896
Nd 11.018 0.000 0.133
Nd 6.762 -2.787 2.435
Nd 10.234 -2.787 3.815
Nd 15.948 0.000 3.962
Nd 12.610 -2.858 1.354
Dy 2.103 0.000 5.578
Dy 4.610 0.000 2.739
Dy 8.498 0.000 3.125
Dy 12.386 0.000 3.512
Dy 14.893 0.000 0.673

---

6
Lattice="0.000 4.414 4.414 4.414 0.000 4.414 4.414 4.414 0.000" Properties=species:S:1:pos:R:3 comment="PBE-GGA AgPtPb4, optimized geometry" energy_ev_per_atom=-3.3862 dos_ef_per_ev_fu=2.91 polymorph_energy_mev_per_atom=580 delta_e_f_ev_per_atom=0.568 sg="F-43m, No. 216" pbc="T T T"
Ag 0.000 0.000 0.000
Pt 2.207 2.207 2.207
Pb 5.514 3.314 3.314
Pb 3.314 5.514 3.314
Pb 3.314 3.314 5.514
Pb 5.514 5.514 5.514

---

4
Lattice="-1.739 2.418 5.012 1.739 -2.418 5.012 1.739 2.418 -5.012" Properties=species:S:1:pos:R:3 comment="PBE-GGA Zr2ScW, optimized geometry" energy_ev_per_atom=-8.9498 dos_ef_per_ev_fu=5.33 polymorph_energy_mev_per_atom=16 delta_e_f_ev_per_atom=0.145 sg="Imm2, No. 44" pbc="T T T"
Zr 0.000 0.000 0.000
Zr 0.000 2.418 2.189
Sc 1.739 0.000 2.793
W 0.000 0.000 5.088